[1]
VASP calculation (PBEsol) on an optimized crystal structure of CuP2Ir.

a b c (Å): 2.883 3.897 5.217
angles (deg): 100.83 90.00 111.71
Fractional positions:
1 Cu 0.000 0.000 0.500
2 Ir 0.500 0.000 0.000
3 P 0.757 0.514 0.750
4 P 0.243 0.486 0.250

Distance to the lowest polymorph of the same formula in eV/f.u.: 0.59
Magnetic moment in μB per formula unit: 0.00
Calculated formation energy in eV/atom: -0.025
SG: C2/m


[2]
VASP calculation (PBEsol) on an optimized crystal structure of CdNiOsRh2.

a b c (Å): 4.583 4.583 5.047
angles (deg): 90.00 90.00 90.00
Fractional positions:
1 Ni 0.500 0.500 0.500
2 Rh 0.000 0.500 0.000
3 Rh 0.500 0.000 0.000
4 Os 0.000 0.000 0.000
5 Cd 0.000 0.000 0.500

Magnetic moment in μB per formula unit: 0.57
Calculated formation energy in eV/atom: 1.701
SG: P4/mmm


[3]
VASP calculation (PBEsol) on an optimized crystal structure of Pr3OsO7.

a b c (Å): 6.633 6.633 7.551
angles (deg): 90.00 90.00 111.93
Fractional positions:
1 Pr 0.000 0.000 0.000
2 Pr 0.000 0.000 0.500
3 Pr 0.913 0.469 0.250
4 Pr 0.087 0.531 0.750
5 Pr 0.469 0.913 0.250
6 Pr 0.531 0.087 0.750
7 Os 0.500 0.500 0.000
8 Os 0.500 0.500 0.500
9 O 0.582 0.582 0.250
10 O 0.418 0.418 0.750
11 O 0.102 0.840 0.250
12 O 0.898 0.160 0.750
13 O 0.840 0.102 0.250
14 O 0.160 0.898 0.750
15 O 0.189 0.439 0.041
16 O 0.811 0.561 0.541
17 O 0.439 0.189 0.041
18 O 0.561 0.811 0.541
19 O 0.189 0.439 0.459
20 O 0.811 0.561 0.959
21 O 0.561 0.811 0.959
22 O 0.439 0.189 0.459

Magnetic moment in μB per formula unit: 2.90
Formation energy from raw total energies in eV per atom: -2.64
SG: Cmcm


[4]
VASP calculation (PBEsol) on an optimized crystal structure of NaBe2Sn.

a b c (Å): 4.549 4.549 8.831
angles (deg): 104.92 104.92 90.00
Fractional positions:
1 Na 0.500 0.500 0.000
2 Na 0.750 0.250 0.500
3 Sn 0.000 0.000 0.000
4 Sn 0.250 0.750 0.500
5 Be 0.625 0.875 0.750
6 Be 0.125 0.875 0.750
7 Be 0.125 0.875 0.250
8 Be 0.125 0.375 0.250

Magnetic moment in μB per formula unit: 0.00
Calculated formation energy in eV/atom: 0.536
SG: I4_1/amd


[5]
VASP calculation (PBEsol) on an optimized crystal structure of Zr2CdRh.

a b c (Å): 3.277 3.279 7.070
angles (deg): 90.00 90.11 90.00
Fractional positions:
1 Rh 0.500 0.500 0.500
2 Zr 0.999 0.000 0.723
3 Zr 0.001 0.000 0.277
4 Cd 0.500 0.500 0.000

Magnetic moment in μB per formula unit: 0.00
Calculated formation energy in eV/atom: -0.413
SG: P2/m


[6]
VASP calculation (PBEsol) on an optimized crystal structure of Cd2NiTe.

a b c (Å): 2.984 3.307 8.082
angles (deg): 90.00 90.00 90.00
Fractional positions:
1 Cd 0.000 0.000 0.027
2 Cd 0.500 0.500 0.290
3 Ni 0.000 0.000 0.504
4 Te 0.500 0.500 0.679

Magnetic moment in μB per formula unit: 0.00
Formation energy from raw total energies in eV per atom: 0.09
SG: Pmm2


[7]
VASP calculation (PBEsol) on an optimized crystal structure of Fe2HgSb.

a b c (Å): 4.447 4.447 4.447
angles (deg): 60.00 60.00 60.00
Fractional positions:
1 Fe 0.750 0.750 0.750
2 Fe 0.250 0.250 0.250
3 Hg 0.500 0.500 0.500
4 Sb 0.000 0.000 0.000

Magnetic moment in μB per formula unit: 3.92
Formation energy from raw total energies in eV per atom: 0.42
SG: Fm-3m


[8]
VASP calculation (PBEsol) on an optimized crystal structure of PIr2Os.

a b c (Å): 2.812 3.909 5.160
angles (deg): 90.00 105.02 90.00
Fractional positions:
1 Ir 0.864 0.000 0.740
2 Ir 0.136 0.000 0.260
3 Os 0.500 0.500 0.000
4 P 0.500 0.500 0.500

Magnetic moment in μB per formula unit: 0.00
Calculated formation energy in eV/atom: 0.095
SG: P2/m